Entry 1:
Here is a geometry-optimized BaCrMo3 structure from Alexandria via LeMat-Bulk. Energies are from PBE.

* DFT formation energy: 1710 kJ/mol of formula units
* space group: No. 221
* VASP energy: -26.32 eV per cell
* volume: 117.2 Å³ per cell
* total magnetization: 0.296 Bohr magnetons per cell

The structure in extended XYZ format:
```
5
Lattice="-0.2839 -3.2688 -3.6300 0.4960 -3.6366 3.2360 -4.8596 -0.1802 0.5423" Properties=species:S:1:pos:R:3 pbc="T T T"
Cr -2.3237 -3.5428 0.0742
Mo 0.2480 -1.8183 1.6180
Mo -2.4298 -0.0901 0.2712
Mo -0.1419 -1.6344 -1.8150
Ba 0.0000 0.0000 0.0000
```

Entry 2:
Here is a geometry-optimized BaCrMo2 structure from Alexandria via LeMat-Bulk. Energies are from PBE.

* DFT formation energy: 563 kJ/mol of formula units
* space group: No. 139
* VASP energy: -27.38 eV per cell
* volume: 82.4 Å³ per cell
* total magnetization: 2.852 Bohr magnetons per cell

The structure in extended XYZ format:
```
4
Lattice="-4.2380 -3.9548 0.5869 -1.4546 -2.1496 5.2163 0.9412 5.1428 -2.5714" Properties=species:S:1:pos:R:3 pbc="T T T"
Ba -1.6799 -0.0295 2.7733
Cr -3.0716 -0.9321 0.4586
Mo 0.0000 0.0000 0.0000
Mo -2.8463 -3.0522 2.9016
```

Entry 3:
Here is a geometry-optimized BaCrMo2 structure from Alexandria via LeMat-Bulk. Energies are from PBE.

* DFT formation energy: 526 kJ/mol of formula units
* space group: No. 141
* VASP energy: -55.52 eV per cell
* volume: 211.4 Å³ per cell
* total magnetization: 0.000 Bohr magnetons per cell

The structure in extended XYZ format:
```
8
Lattice="5.1212 0.0000 0.0000 0.0000 5.1212 0.0000 2.5606 2.5606 8.0596" Properties=species:S:1:pos:R:3 pbc="T T T"
Cr 2.5606 2.5606 0.0000
Cr 2.5606 5.1212 4.0298
Mo 2.5602 1.2803 2.0149
Mo 2.5609 3.8409 2.0149
Mo 3.8409 5.1215 6.0447
Mo 6.4015 5.1208 6.0447
Ba 0.0000 0.0000 0.0000
Ba 5.1212 2.5606 4.0298
```

> Which value of DFT formation energy does entry 3 give?

526 kJ/mol of formula units